[1]
CrSiAg3: relaxed, PBEsol.

Properties
As for the space group: Pm-3m, No. 221. Its crystal system is cubic. The uncorrected formation energy is 1440.6 meV per atom.

Geometry as POSCAR:
```
CrSiAg3
1.0
4.8207 0.0000 0.0000
0.0000 4.8207 0.0000
0.0000 0.0000 4.8207
Cr Si Ag
1 1 3
Cartesian
0.0000 0.0000 0.0000
2.4103 2.4103 2.4103
0.0000 0.0000 2.4103
0.0000 2.4103 0.0000
2.4103 0.0000 0.0000
```

[2]
Mg2SbPb: relaxed, PBEsol.

Properties
As for the space group: Cm, No. 8. Its crystal system is monoclinic. The uncorrected formation energy is -128.1 meV per atom. For the energy above the most stable polymorph in this dataset, the calculation gives 14 meV per atom.

Geometry as POSCAR:
```
Mg2SbPb
1.0
5.8247 -1.7330 0.0000
5.8247 1.7330 0.0000
-1.6416 0.0000 4.8856
Mg Sb Pb
2 1 1
Cartesian
0.0000 0.0000 0.0000
8.0096 0.0000 2.0994
1.4221 0.0000 4.6104
4.9549 0.0000 2.4047
```

[3]
KBa2Ta: relaxed, PBEsol.

Properties
As for the space group: I-4m2, No. 119. Its formation energy from the elements is 116.01 kJ/mol of atoms. Its crystal system is tetragonal. For the energy above the most stable polymorph in this dataset, the calculation gives 327 meV per atom.

Geometry as POSCAR:
```
KBa2Ta
1.0
-2.6519 2.6519 5.6924
2.6519 -2.6519 5.6924
2.6519 2.6519 -5.6924
K Ba Ta
1 2 1
Cartesian
0.0000 0.0000 0.0000
2.6519 0.0000 2.8462
0.0000 0.0000 5.6924
0.0000 2.6519 2.8462
```

[4]
CoSbN2O: relaxed, PBEsol.

Properties
As for the space group: P4/mmm, No. 123. Its crystal system is tetragonal. The uncorrected formation energy is 1044.6 meV per atom.

Geometry as POSCAR:
```
CoSbN2O
1.0
3.9766 0.0000 0.0000
0.0000 3.9766 0.0000
0.0000 0.0000 3.9005
Co Sb N O
1 1 2 1
Cartesian
0.0000 0.0000 0.0000
1.9883 1.9883 1.9503
0.0000 1.9883 1.9503
1.9883 0.0000 1.9503
1.9883 1.9883 0.0000
```

[5]
HfCdP2S: relaxed, PBEsol.

Properties
As for the space group: P4/mmm, No. 123. Its crystal system is tetragonal. The uncorrected formation energy is 99.0 meV per atom. For the energy above the most stable polymorph in this dataset, the calculation gives 0 meV per atom.

Geometry as POSCAR:
```
HfCdP2S
1.0
4.9782 0.0000 0.0000
0.0000 4.9782 0.0000
0.0000 0.0000 4.7830
Hf Cd P S
1 1 2 1
Cartesian
0.0000 0.0000 0.0000
2.4891 2.4891 2.3915
0.0000 2.4891 0.0000
2.4891 0.0000 0.0000
0.0000 0.0000 2.3915
```

[6]
SrNi2Cl: relaxed, PBEsol.

Properties
As for the space group: P4/mmm, No. 123. Its crystal system is tetragonal. The uncorrected formation energy is 215.0 meV per atom.

Geometry as POSCAR:
```
SrNi2Cl
1.0
3.9592 0.0000 0.0000
0.0000 3.9592 0.0000
0.0000 0.0000 5.5041
Sr Ni Cl
1 2 1
Cartesian
0.0000 0.0000 0.0000
1.9796 1.9796 1.1108
1.9796 1.9796 4.3933
0.0000 0.0000 2.7520
```

Results for N(E_F): 2.62, 1.27, 4.94, 4.88, 5.21, 5.90 (in states/eV/f.u., following the order of the records).
Results for total DFT energy (no corrections): -3.74, -3.13, -3.29, -5.87, -5.43, -3.83 (in eV per atom, following the order of the records).
Results for density: 6.0, 6.4, 5.1, 6.0, 5.4, 4.6 (in g/cm³, following the order of the records).